No. 1
{
  "formula": "CaAu2Cl6",
  "functional": "PBE-GGA",
  "state": "relaxed",
  "lattice_angstrom": [[7.3625, 0.0790, 0.0764], [2.4142, 8.4636, -0.9660], [2.4142, -0.6912, 8.4904]],
  "species": ["Ca", "Ca", "Cl", "Cl", "Cl", "Cl", "Cl", "Cl", "Cl", "Cl", "Cl", "Cl", "Cl", "Cl", "Au", "Au", "Au", "Au"],
  "fractional_positions": [[0.7500, 0.8962, 0.1038], [0.2500, 0.1038, 0.8962], [0.5759, 0.3170, 0.5006], [0.3453, 0.0814, 0.1887], [0.9241, 0.4994, 0.6830], [0.8453, 0.1887, 0.0814], [0.6726, 0.6135, 0.0785], [0.4241, 0.6830, 0.4994], [0.0759, 0.5006, 0.3170], [0.1547, 0.8113, 0.9186], [0.1726, 0.0785, 0.6135], [0.3274, 0.3865, 0.9215], [0.6547, 0.9186, 0.8113], [0.8274, 0.9215, 0.3865], [0.6432, 0.4489, 0.2739], [0.1432, 0.2739, 0.4489], [0.3568, 0.5511, 0.7261], [0.8568, 0.7261, 0.5511]],
  "crystal_system": "monoclinic",
  "formation_energy_uncorrected_ev_per_atom": -0.8807,
  "final_energy_ev_per_cell": -55.13,
  "m_tot_mub_per_atom": 0.00,
  "sg": "C2/c (15)"
}

=====

No. 2
{
  "formula": "CaAuCl5",
  "functional": "PBE-GGA",
  "state": "relaxed",
  "lattice_angstrom": [[6.7984, -0.0998, 0.1332], [2.0622, 6.4788, 0.1332], [3.3329, 2.3995, 9.0699]],
  "species": ["Au", "Au", "Cl", "Cl", "Cl", "Cl", "Cl", "Cl", "Cl", "Cl", "Cl", "Cl", "Ca", "Ca"],
  "fractional_positions": [[0.0000, 0.0000, 0.5000], [0.0000, 0.0000, 0.0000], [0.1962, 0.2816, 0.3943], [0.6599, 0.3036, 0.5264], [0.8038, 0.7184, 0.6057], [0.9362, 0.0638, 0.2500], [0.6964, 0.3401, 0.9736], [0.0638, 0.9362, 0.7500], [0.7184, 0.8038, 0.1057], [0.3401, 0.6964, 0.4736], [0.3036, 0.6599, 0.0264], [0.2816, 0.1962, 0.8943], [0.4202, 0.5798, 0.7500], [0.5798, 0.4202, 0.2500]],
  "crystal_system": "monoclinic",
  "formation_energy_uncorrected_ev_per_atom": -1.0187,
  "final_energy_ev_per_cell": -43.29,
  "m_tot_mub_per_atom": 0.00,
  "sg": "C2/c (15)"
}

=====

No. 3
{
  "formula": "Ca2AuCl",
  "functional": "PBE-GGA",
  "state": "relaxed",
  "lattice_angstrom": [[5.6271, 0.0008, -0.0005], [0.6042, 5.5945, 0.0005], [-2.1420, -3.8820, 3.4650]],
  "species": ["Cl", "Ca", "Ca", "Au"],
  "fractional_positions": [[0.7500, 0.2500, 0.5000], [0.5178, 0.5178, 0.0000], [0.9822, 0.9822, 0.0000], [0.2500, 0.7500, 0.5000]],
  "crystal_system": "orthorhombic",
  "formation_energy_uncorrected_ev_per_atom": -1.0020,
  "final_energy_ev_per_cell": -13.14,
  "m_tot_mub_per_atom": 0.00,
  "de_polymorph_mev_per_atom": 216,
  "sg": "Immm (71)"
}

=====

No. 4
{
  "formula": "CaAu3Cl",
  "functional": "PBE-GGA",
  "state": "relaxed",
  "lattice_angstrom": [[5.5075, 0.0000, 0.0000], [0.0000, 5.5075, 0.0000], [0.0000, 0.0000, 5.5075]],
  "species": ["Au", "Au", "Au", "Ca", "Cl"],
  "fractional_positions": [[0.0000, 0.0000, 0.5000], [0.5000, 0.0000, 0.0000], [0.0000, 0.5000, 0.0000], [0.0000, 0.0000, 0.0000], [0.5000, 0.5000, 0.5000]],
  "crystal_system": "cubic",
  "formation_energy_uncorrected_ev_per_atom": 0.6059,
  "final_energy_ev_per_cell": -10.65,
  "m_tot_mub_per_atom": 0.00,
  "de_polymorph_mev_per_atom": 258,
  "sg": "Pm-3m (221)"
}

=====

No. 5
{
  "formula": "Ca3Au5Cl12",
  "functional": "PBE-GGA",
  "state": "relaxed",
  "lattice_angstrom": [[-12.2572, -6.4903, -1.3017], [9.8906, -7.4268, -6.4090], [3.1682, 1.2744, 13.5054]],
  "species": ["Cl", "Cl", "Cl", "Cl", "Cl", "Cl", "Cl", "Cl", "Cl", "Cl", "Cl", "Cl", "Cl", "Cl", "Cl", "Cl", "Cl", "Cl", "Cl", "Cl", "Cl", "Cl", "Cl", "Cl", "Cl", "Cl", "Cl", "Cl", "Cl", "Cl", "Cl", "Cl", "Cl", "Cl", "Cl", "Cl", "Cl", "Cl", "Cl", "Cl", "Cl", "Cl", "Cl", "Cl", "Cl", "Cl", "Cl", "Cl", "Au", "Au", "Au", "Au", "Au", "Au", "Au", "Au", "Au", "Au", "Au", "Au", "Au", "Au", "Au", "Au", "Au", "Au", "Au", "Au", "Ca", "Ca", "Ca", "Ca", "Ca", "Ca", "Ca", "Ca", "Ca", "Ca", "Ca", "Ca"],
  "fractional_positions": [[0.7802, 0.4530, 0.3662], [0.2802, 0.8662, 0.9530], [0.6338, 0.5868, 0.9140], [0.7198, 0.1338, 0.0470], [0.5470, 0.2198, 0.1338], [0.1728, 0.0860, 0.7198], [0.0860, 0.9132, 0.3662], [0.4132, 0.0470, 0.3272], [0.0470, 0.4132, 0.8272], [0.8662, 0.5860, 0.9132], [0.1338, 0.7198, 0.5470], [0.3272, 0.7802, 0.4140], [0.5868, 0.9530, 0.6728], [0.3272, 0.5470, 0.4132], [0.4140, 0.1338, 0.5868], [0.6728, 0.2198, 0.5860], [0.7802, 0.3272, 0.9140], [0.5868, 0.6338, 0.4140], [0.2198, 0.6728, 0.0860], [0.8272, 0.9140, 0.2802], [0.4140, 0.2802, 0.3272], [0.9530, 0.5868, 0.1728], [0.5470, 0.3272, 0.9132], [0.2198, 0.5470, 0.6338], [0.3662, 0.9530, 0.7802], [0.5860, 0.7198, 0.6728], [0.1728, 0.0868, 0.9530], [0.7198, 0.5860, 0.1728], [0.6338, 0.0470, 0.2198], [0.2802, 0.4140, 0.8272], [0.0860, 0.1728, 0.2198], [0.6728, 0.4530, 0.5868], [0.5860, 0.8662, 0.4132], [0.1338, 0.4140, 0.0868], [0.0868, 0.9140, 0.1338], [0.9132, 0.8272, 0.5470], [0.8662, 0.2802, 0.4530], [0.4530, 0.7802, 0.8662], [0.0868, 0.1728, 0.4530], [0.9140, 0.8272, 0.7802], [0.8272, 0.9132, 0.0470], [0.3662, 0.4132, 0.0860], [0.4530, 0.6728, 0.0868], [0.4132, 0.3662, 0.5860], [0.9140, 0.0868, 0.6338], [0.9132, 0.0860, 0.8662], [0.0470, 0.6338, 0.7198], [0.9530, 0.3662, 0.2802], [0.8750, 0.6250, 0.7500], [0.5000, 0.0000, 0.5000], [0.5000, 0.5000, 0.5000], [0.2500, 0.8750, 0.1250], [0.7500, 0.6250, 0.3750], [0.6250, 0.8750, 0.2500], [0.1250, 0.3750, 0.2500], [0.3750, 0.1250, 0.7500], [0.1250, 0.7500, 0.3750], [0.6250, 0.7500, 0.8750], [0.0000, 0.5000, 0.5000], [0.0000, 0.0000, 0.0000], [0.0000, 0.5000, 0.0000], [0.0000, 0.0000, 0.5000], [0.8750, 0.2500, 0.6250], [0.5000, 0.5000, 0.0000], [0.2500, 0.3750, 0.6250], [0.5000, 0.0000, 0.0000], [0.7500, 0.1250, 0.8750], [0.3750, 0.2500, 0.1250], [0.3750, 0.6250, 0.2500], [0.6250, 0.2500, 0.3750], [0.8750, 0.1250, 0.2500], [0.7500, 0.8750, 0.6250], [0.1250, 0.2500, 0.8750], [0.8750, 0.7500, 0.1250], [0.6250, 0.3750, 0.7500], [0.7500, 0.3750, 0.1250], [0.2500, 0.6250, 0.8750], [0.3750, 0.7500, 0.6250], [0.1250, 0.8750, 0.7500], [0.2500, 0.1250, 0.3750]],
  "crystal_system": "cubic",
  "formation_energy_uncorrected_ev_per_atom": -0.9702,
  "final_energy_ev_per_cell": -255.82,
  "m_tot_mub_per_atom": 0.00,
  "sg": "Ia-3d (230)"
}

=====

No. 6
{
  "formula": "Ca2AuCl",
  "functional": "PBE-GGA",
  "state": "relaxed",
  "lattice_angstrom": [[-4.7164, -3.4090, 1.9107], [0.1496, -2.2095, -3.5726], [2.6843, -2.7111, 1.7890]],
  "species": ["Au", "Cl", "Ca", "Ca"],
  "fractional_positions": [[0.5000, 0.8744, 0.8750], [0.0000, 0.3754, 0.3750], [0.5000, 0.3744, 0.3750], [0.0000, 0.8759, 0.8750]],
  "crystal_system": "orthorhombic",
  "formation_energy_uncorrected_ev_per_atom": -1.1665,
  "final_energy_ev_per_cell": -13.79,
  "m_tot_mub_per_atom": 0.00,
  "de_polymorph_mev_per_atom": 52,
  "sg": "Pmm2 (25)"
}